No. 1
This record from the Alexandria database describes an optimized crystal structure of LiPmNd2. The functional is PBE.

Geometry as POSCAR:
```
LiPmNd2
1.0
-1.3599 3.2277 -0.7320
-1.9401 -2.3858 1.8295
4.5106 4.2391 10.3116
Li Pm Nd
1 1 2
direct
0.6667 0.3333 0.5240
0.0000 0.0000 0.0085
0.6667 0.3333 0.2523
0.3333 0.6667 0.7602
```

Output
polymorph energy (0 for the lowest one)	66	meV per atom
formation energy	0.13	eV per atom
DFT total energy	-15.7	eV/f.u.

No. 2
This record from the Alexandria database describes an optimized crystal structure of LiPm2Nd. The functional is PBE.

Geometry as POSCAR:
```
LiPm2Nd
1.0
-2.1929 2.4400 1.4063
-0.6080 -3.4739 0.5497
6.7692 0.3810 9.8948
Li Pm Nd
1 2 1
direct
0.6667 0.3333 0.5241
0.6667 0.3333 0.2530
0.3333 0.6667 0.7592
0.0000 0.0000 0.0086
```

Output
polymorph energy (0 for the lowest one)	69	meV per atom
formation energy	0.14	eV per atom
DFT total energy	-15.6	eV/f.u.

No. 3
This record from the Alexandria database describes an optimized crystal structure of LiPmNd2. The functional is PBE.

Geometry as POSCAR:
```
LiPmNd2
1.0
-2.8376 0.2502 -2.3372
2.3183 -0.3064 -2.8475
-0.9710 -9.1743 0.1967
Li Nd Pm
1 2 1
direct
0.5000 0.5000 0.0000
0.0000 0.0000 0.7754
0.0000 0.0000 0.2246
0.5000 0.5000 0.5000
```

Output
polymorph energy (0 for the lowest one)	0	meV per atom
formation energy	0.06	eV per atom
DFT total energy	-16.0	eV/f.u.

No. 4
This record from the Alexandria database describes an optimized crystal structure of LiPm2Nd. The functional is PBE.

Geometry as POSCAR:
```
LiPm2Nd
1.0
-1.0662 1.5882 5.2994
3.2717 -1.8358 4.2034
3.4803 3.5688 2.6256
Li Nd Pm
1 1 2
direct
0.5000 0.5000 0.5000
0.0000 0.0000 0.0000
0.2500 0.2500 0.2500
0.7500 0.7500 0.7500
```

Output
polymorph energy (0 for the lowest one)	126	meV per atom
formation energy	0.19	eV per atom
DFT total energy	-15.4	eV/f.u.

No. 5
This record from the Alexandria database describes an optimized crystal structure of LiPm8Nd5. The functional is PBE.

Geometry as POSCAR:
```
LiPm8Nd5
1.0
8.1652 0.0000 -2.6336
-4.1564 6.8918 -2.9723
0.1475 0.0000 8.5782
Li Pm Nd
1 8 5
direct
0.2500 0.5000 0.7500
0.1756 0.7249 0.0623
0.9377 0.1133 0.6626
0.7301 0.2584 0.3331
0.6669 0.3970 0.9253
0.5284 0.6030 0.2699
0.5493 0.8867 0.8244
0.3374 0.2751 0.4507
0.0747 0.7416 0.4716
0.0240 0.3087 0.1312
0.8688 0.8928 0.1775
0.8225 0.6913 0.7153
0.5000 0.0000 0.5000
0.2847 0.1072 0.9760
```

Output
formation energy	0.22	eV per atom
DFT total energy	-60.7	eV/f.u.

No. 6
This record from the Alexandria database describes an optimized crystal structure of LiPmNd2. The functional is PBE.

Geometry as POSCAR:
```
LiPmNd2
1.0
-3.1692 3.2336 -3.3726
-5.1010 -1.7800 -1.6388
-4.6442 2.4901 2.0261
Li Nd Pm
1 2 1
direct
0.5000 0.5000 0.5000
0.2500 0.2500 0.2500
0.7500 0.7500 0.7500
0.0000 0.0000 0.0000
```

Output
polymorph energy (0 for the lowest one)	121	meV per atom
formation energy	0.18	eV per atom
DFT total energy	-15.5	eV/f.u.